# 1
The following is a DFT calculation (PBE-GGA) of an optimized crystal structure of Ba3Li2UO8.

Calculated values
D(E_F) = 8.990 states/eV/cell

a = 5.942 Å, b = 5.942 Å, c = 7.673 Å
α = 90.00°, β = 90.00°, γ = 120.00°
Fractional coordinates of all 14 atoms:
Ba 0.000 0.000 0.000
Ba 0.333 0.667 0.654
Ba 0.667 0.333 0.346
Li 0.333 0.667 0.229
Li 0.667 0.333 0.771
U 0.000 0.000 0.500
O 0.161 0.322 0.337
O 0.161 0.839 0.337
O 0.322 0.161 0.663
O 0.333 0.667 0.987
O 0.667 0.333 0.013
O 0.678 0.839 0.337
O 0.839 0.161 0.663
O 0.839 0.678 0.663


# 2
The following is a DFT calculation (PBE-GGA) of an optimized crystal structure of Ba3LiU2O9.

Calculated values
D(E_F) = 6.876 states/eV/cell

a = 6.102 Å, b = 6.102 Å, c = 7.562 Å
α = 90.00°, β = 90.00°, γ = 120.00°
Fractional coordinates of all 15 atoms:
Ba 0.000 0.000 0.000
Ba 0.333 0.667 0.643
Ba 0.667 0.333 0.357
Li 0.000 0.000 0.500
U 0.333 0.667 0.173
U 0.667 0.333 0.827
O 0.000 0.500 0.000
O 0.173 0.347 0.326
O 0.173 0.827 0.326
O 0.347 0.173 0.674
O 0.500 0.000 0.000
O 0.500 0.500 0.000
O 0.653 0.827 0.326
O 0.827 0.173 0.674
O 0.827 0.653 0.674


# 3
The following is a DFT calculation (PBE-GGA) of an optimized crystal structure of BaLi3U4O12.

Calculated values
D(E_F) = 9.197 states/eV/cell

a = 7.166 Å, b = 7.166 Å, c = 7.166 Å
α = 109.47°, β = 109.47°, γ = 109.47°
Fractional coordinates of all 20 atoms:
Ba 0.000 0.000 0.000
Li 0.000 0.500 0.500
Li 0.500 0.000 0.500
Li 0.500 0.500 0.000
U 0.000 0.000 0.500
U 0.000 0.500 0.000
U 0.500 0.000 0.000
U 0.500 0.500 0.500
O 0.120 0.301 0.820
O 0.180 0.481 0.301
O 0.180 0.880 0.699
O 0.301 0.180 0.481
O 0.301 0.820 0.120
O 0.481 0.301 0.180
O 0.519 0.699 0.820
O 0.699 0.180 0.880
O 0.699 0.820 0.519
O 0.820 0.120 0.301
O 0.820 0.519 0.699
O 0.880 0.699 0.180


# 4
The following is a DFT calculation (PBE-GGA) of an optimized crystal structure of BaLiUO4.

Calculated values
D(E_F) = 2.799 states/eV/cell

a = 6.663 Å, b = 6.663 Å, c = 6.663 Å
α = 113.65°, β = 107.71°, γ = 107.13°
Fractional coordinates of all 14 atoms:
Ba 0.425 0.175 0.250
Ba 0.575 0.825 0.750
Li 0.000 0.500 0.500
Li 0.500 0.500 0.000
U 0.000 0.000 0.500
U 0.000 0.500 0.000
O 0.160 0.239 0.922
O 0.183 0.761 0.422
O 0.254 0.302 0.547
O 0.254 0.707 0.953
O 0.746 0.293 0.047
O 0.746 0.698 0.453
O 0.817 0.239 0.578
O 0.840 0.761 0.078


Spin magnetization readings, ordered: 0.14; 0.07; 0.25; 0.14 μB per atom
Uncorrected energy readings, ordered: -6.7235; -7.9952; -8.5488; -7.8358 eV/atom
ΔE_f (raw) readings, ordered: -55.31; -69.25; -67.64; -65.53 kcal/mol of atoms